one) The following is a PBE-GGA calculation of crystalline RbLi3Sb3 at its relaxed geometry, from Alexandria via LeMat-Bulk.

The space group is P6_3/m (No. 176) and the conventional cell measures 11.4375, 11.4375 and 4.4475 Å, with angles of 90.00, 90.00 and 120.00 degrees. The inequivalent atoms are Rb at (0.3333, 0.6667, 0.2500), Li at (0.1318, 0.7302, 0.7500) and Sb at (0.0344, 0.4335, 0.7500).

The calculated density is 3.1 g/cm³.


two) The following is a PBE-GGA calculation of crystalline RbLi3Sb3 at its relaxed geometry, from Alexandria via LeMat-Bulk.

The space group is Pm-3n (No. 223) and the conventional cell measures 7.5830, 7.5830 and 7.5830 Å, with angles of 90.00, 90.00 and 90.00 degrees. The inequivalent atoms are Rb at (0.0000, 0.0000, 0.0000), Li at (0.0000, 0.2500, 0.5000) and Sb at (0.0000, 0.5000, 0.2500).

The calculated density is 3.6 g/cm³.


Most stable structure, least stable structure: one), two).


one) The following is a PBE-GGA calculation of crystalline RbLiSbTe2 at its relaxed geometry, from Alexandria via LeMat-Bulk.

The space group is P4/mmm (No. 123) and the conventional cell measures 5.5172, 5.5172 and 5.1183 Å, with angles of 90.00, 90.00 and 90.00 degrees. The inequivalent atoms are Rb at (0.0000, 0.0000, 0.0000), Li at (0.5000, 0.5000, 0.5000), Sb at (0.5000, 0.5000, 0.0000) and Te at (0.0000, 0.5000, 0.5000).

The calculated density is 5.0 g/cm³.


two) The following is a PBE-GGA calculation of crystalline RbLiSbTe2 at its relaxed geometry, from Alexandria via LeMat-Bulk.

The space group is P4/mmm (No. 123) and the conventional cell measures 6.3875, 6.3875 and 6.1273 Å, with angles of 90.00, 90.00 and 90.00 degrees. The inequivalent atoms are Rb at (0.0000, 0.0000, 0.0000), Li at (0.5000, 0.5000, 0.5000), Sb at (0.0000, 0.0000, 0.5000) and Te at (0.0000, 0.5000, 0.0000).

The calculated density is 3.1 g/cm³.


Most stable structure, least stable structure: one), two).


one) The following is a PBE-GGA calculation of crystalline RbLiSbTe2 at its relaxed geometry, from Alexandria via LeMat-Bulk.

The space group is P4/mmm (No. 123) and the conventional cell measures 6.2987, 6.2987 and 4.8225 Å, with angles of 90.00, 90.00 and 90.00 degrees. The inequivalent atoms are Rb at (0.0000, 0.0000, 0.0000), Li at (0.0000, 0.0000, 0.5000), Sb at (0.5000, 0.5000, 0.5000) and Te at (0.0000, 0.5000, 0.0000).

The calculated density is 4.1 g/cm³.


two) The following is a PBE-GGA calculation of crystalline RbLiSbTe2 at its relaxed geometry, from Alexandria via LeMat-Bulk.

The space group is Pmma (No. 51) and the conventional cell measures 9.0681, 8.5838 and 4.3497 Å, with angles of 90.00, 90.00 and 90.00 degrees. The inequivalent atoms are Rb at (0.2500, 0.0000, 0.0012), Li at (0.0000, 0.5000, 0.0000), Sb at (0.2500, 0.5000, 0.5000) and Te at (0.0000, 0.2585, 0.5000).

The calculated density is 4.6 g/cm³.


Most stable structure, least stable structure: two), one).


one) The following is a PBE-GGA calculation of crystalline RbLiSb2Te at its relaxed geometry, from Alexandria via LeMat-Bulk.

The space group is P4/mmm (No. 123) and the conventional cell measures 5.2130, 5.2130 and 5.6057 Å, with angles of 90.00, 90.00 and 90.00 degrees. The inequivalent atoms are Rb at (0.0000, 0.0000, 0.0000), Li at (0.5000, 0.5000, 0.5000), Sb at (0.0000, 0.5000, 0.5000) and Te at (0.5000, 0.5000, 0.0000).

The calculated density is 5.1 g/cm³.


two) The following is a PBE-GGA calculation of crystalline RbLiSb2Te at its relaxed geometry, from Alexandria via LeMat-Bulk.

The space group is P4/mmm (No. 123) and the conventional cell measures 6.1348, 6.1348 and 6.3125 Å, with angles of 90.00, 90.00 and 90.00 degrees. The inequivalent atoms are Rb at (0.0000, 0.0000, 0.0000), Li at (0.5000, 0.5000, 0.5000), Sb at (0.0000, 0.5000, 0.0000) and Te at (0.0000, 0.0000, 0.5000).

The calculated density is 3.2 g/cm³.


Most stable structure, least stable structure: one), two).


one) The following is a PBE-GGA calculation of crystalline RbLi2Se2 at its relaxed geometry, from Alexandria via LeMat-Bulk.

The space group is I4/mmm (No. 139) and the conventional cell measures 4.5283, 4.5283 and 11.7141 Å, with angles of 90.00, 90.00 and 90.00 degrees. The inequivalent atoms are Rb at (0.0000, 0.0000, 0.0000), Li at (0.0000, 0.5000, 0.2500) and Se at (0.0000, 0.0000, 0.3607).

The calculated density is 3.6 g/cm³.


two) The following is a PBE-GGA calculation of crystalline RbLi2Se2 at its relaxed geometry, from Alexandria via LeMat-Bulk.

The space group is P4/mbm (No. 127) and the conventional cell measures 8.2870, 8.2870 and 3.2082 Å, with angles of 90.00, 90.00 and 90.00 degrees. The inequivalent atoms are Rb at (0.0000, 0.0000, 0.0000), Li at (0.1176, 0.3824, 0.0000) and Se at (0.1641, 0.6641, 0.5000).

The calculated density is 3.9 g/cm³.


Most stable structure, least stable structure: one), two).


one) The following is a PBE-GGA calculation of crystalline RbLiSi2 at its relaxed geometry, from Alexandria via LeMat-Bulk.

The space group is Fm-3m (No. 225) and the conventional cell measures 7.2734, 7.2734 and 7.2734 Å, with angles of 90.00, 90.00 and 90.00 degrees. The inequivalent atoms are Rb at (0.0000, 0.0000, 0.0000), Li at (0.0000, 0.0000, 0.5000) and Si at (0.2500, 0.2500, 0.2500).

The calculated density is 2.6 g/cm³.


two) The following is a PBE-GGA calculation of crystalline RbLiSi2 at its relaxed geometry, from Alexandria via LeMat-Bulk.

The space group is I-42d (No. 122) and the conventional cell measures 4.8320, 4.8320 and 19.1149 Å, with angles of 90.00, 90.00 and 90.00 degrees. The inequivalent atoms are Rb at (0.0000, 0.0000, 0.0000), Li at (0.0000, 0.0000, 0.5000) and Si at (0.0015, 0.7500, 0.6250).

The calculated density is 2.2 g/cm³.


Most stable structure, least stable structure: two), one).